[1]
Here is crystalline LaInTe at its relaxed geometry from the Alexandria database. Energies are from GGA-PBEsol.

Summary:
Its density of states at the Fermi level is 2.80 states/eV/f.u. For the total energy, the calculation gives -0.1730 hartree per atom. As for the raw formation energy: -0.76 eV/atom. The total magnetization comes out at 0.001 Bohr magnetons per cell.

Geometry as CIF:
```
data_LaInTe
_cell_length_a 3.940
_cell_length_b 3.940
_cell_length_c 10.923
_cell_angle_alpha 90.00
_cell_angle_beta 90.00
_cell_angle_gamma 90.00
_space_group_name_H-M_alt 'I 4 m m'
_space_group_IT_number 107
_space_group_name_Hall 'I 4 -2'
loop_
_atom_site_label
_atom_site_type_symbol
_atom_site_fract_x
_atom_site_fract_y
_atom_site_fract_z
La1 La 0.000 0.000 0.000
In1 In 0.000 0.000 0.681
Te1 Te 0.000 0.000 0.340
```


[2]
Here is crystalline Mg2TaCo at its relaxed geometry from the Alexandria database. Energies are from GGA-PBEsol.

Summary:
Its density of states at the Fermi level is 3.83 states/eV/f.u. For the total energy, the calculation gives -0.2036 hartree per atom. As for the calculated formation energy: 0.390 eV per atom. The total magnetization comes out at 1.489 Bohr magnetons per cell.

Geometry as CIF:
```
data_Mg2TaCo
_cell_length_a 5.326
_cell_length_b 9.490
_cell_length_c 2.694
_cell_angle_alpha 90.00
_cell_angle_beta 108.41
_cell_angle_gamma 90.00
_space_group_name_H-M_alt 'C 1 2/m 1'
_space_group_IT_number 12
loop_
_space_group_symop_operation_xyz
'x,y,z'
'-x,-y,-z'
'-x,y,-z'
'x,-y,z'
'x+1/2,y+1/2,z'
'-x+1/2,-y+1/2,-z'
'-x+1/2,y+1/2,-z'
'x+1/2,-y+1/2,z'
loop_
_atom_site_label
_atom_site_type_symbol
_atom_site_fract_x
_atom_site_fract_y
_atom_site_fract_z
Mg1 Mg 0.250 0.250 0.000
Ta1 Ta 0.000 0.000 0.500
Co1 Co 0.000 0.500 0.500
```


[3]
Here is crystalline FeSb2IN at its relaxed geometry from the Alexandria database. Energies are from GGA-PBEsol.

Summary:
Its density of states at the Fermi level is 3.52 states/eV/f.u. For the total energy, the calculation gives -0.1605 hartree per atom. As for the raw formation energy: 1.31 eV/atom. The total magnetization comes out at 1.861 Bohr magnetons per cell.

Geometry as CIF:
```
data_FeSb2IN
_cell_length_a 4.748
_cell_length_b 4.748
_cell_length_c 5.506
_cell_angle_alpha 90.00
_cell_angle_beta 90.00
_cell_angle_gamma 90.00
_space_group_name_H-M_alt 'P 4/m m m'
_space_group_IT_number 123
_space_group_name_Hall '-P 4 2'
loop_
_atom_site_label
_atom_site_type_symbol
_atom_site_fract_x
_atom_site_fract_y
_atom_site_fract_z
Fe1 Fe 0.000 0.000 0.000
Sb1 Sb 0.000 0.500 0.000
I1 I 0.000 0.000 0.500
N1 N 0.500 0.500 0.500
```


[4]
Here is crystalline Mg3CuRe at its relaxed geometry from the Alexandria database. Energies are from GGA-PBEsol.

Summary:
Its density of states at the Fermi level is 3.59 states/eV/f.u. For the total energy, the calculation gives -0.1275 hartree per atom. As for the calculated formation energy: 1.093 eV per atom. The total magnetization comes out at 2.378 Bohr magnetons per cell.

Geometry as CIF:
```
data_Mg3CuRe
_cell_length_a 4.585
_cell_length_b 4.585
_cell_length_c 4.585
_cell_angle_alpha 90.00
_cell_angle_beta 90.00
_cell_angle_gamma 90.00
_space_group_name_H-M_alt 'P m -3 m'
_space_group_IT_number 221
_space_group_name_Hall '-P 4 2 3'
loop_
_atom_site_label
_atom_site_type_symbol
_atom_site_fract_x
_atom_site_fract_y
_atom_site_fract_z
Mg1 Mg 0.000 0.000 0.500
Cu1 Cu 0.000 0.000 0.000
Re1 Re 0.500 0.500 0.500
```


[5]
Here is crystalline TcSb2RuC at its relaxed geometry from the Alexandria database. Energies are from GGA-PBEsol.

Summary:
Its density of states at the Fermi level is 6.18 states/eV/f.u. For the total energy, the calculation gives -0.2133 hartree per atom. As for the raw formation energy: 2.24 eV/atom. The total magnetization comes out at 0.795 Bohr magnetons per cell.

Geometry as CIF:
```
data_TcSb2RuC
_cell_length_a 5.003
_cell_length_b 5.003
_cell_length_c 4.533
_cell_angle_alpha 90.00
_cell_angle_beta 90.00
_cell_angle_gamma 90.00
_space_group_name_H-M_alt 'P 4/m m m'
_space_group_IT_number 123
_space_group_name_Hall '-P 4 2'
loop_
_atom_site_label
_atom_site_type_symbol
_atom_site_fract_x
_atom_site_fract_y
_atom_site_fract_z
Tc1 Tc 0.000 0.000 0.000
Sb1 Sb 0.000 0.500 0.000
Ru1 Ru 0.000 0.000 0.500
C1 C 0.500 0.500 0.500
```


[6]
Here is crystalline LaRu2W at its relaxed geometry from the Alexandria database. Energies are from GGA-PBEsol.

Summary:
Its density of states at the Fermi level is 4.65 states/eV/f.u. For the total energy, the calculation gives -0.3472 hartree per atom. As for the calculated formation energy: 0.428 eV per atom. The total magnetization comes out at 0.000 Bohr magnetons per cell.

Geometry as CIF:
```
data_LaRu2W
_cell_length_a 4.804
_cell_length_b 4.804
_cell_length_c 3.007
_cell_angle_alpha 90.00
_cell_angle_beta 90.00
_cell_angle_gamma 90.00
_space_group_name_H-M_alt 'P 4/m m m'
_space_group_IT_number 123
_space_group_name_Hall '-P 4 2'
loop_
_atom_site_label
_atom_site_type_symbol
_atom_site_fract_x
_atom_site_fract_y
_atom_site_fract_z
La1 La 0.000 0.000 0.000
Ru1 Ru 0.000 0.500 0.500
W1 W 0.500 0.500 0.000
```


[7]
Here is crystalline MnMoIr2 at its relaxed geometry from the Alexandria database. Energies are from GGA-PBEsol.

Summary:
Its density of states at the Fermi level is 3.51 states/eV/f.u. For the total energy, the calculation gives -0.3846 hartree per atom. As for the calculated formation energy: -0.171 eV per atom. The total magnetization comes out at 2.563 Bohr magnetons per cell.

Geometry as CIF:
```
data_MnMoIr2
_cell_length_a 3.776
_cell_length_b 3.776
_cell_length_c 7.629
_cell_angle_alpha 90.00
_cell_angle_beta 90.00
_cell_angle_gamma 90.00
_space_group_name_H-M_alt 'I -4 m 2'
_space_group_IT_number 119
_space_group_name_Hall 'I -4 -2'
loop_
_atom_site_label
_atom_site_type_symbol
_atom_site_fract_x
_atom_site_fract_y
_atom_site_fract_z
Mn1 Mn 0.000 0.000 0.000
Mo1 Mo 0.000 0.500 0.250
Ir1 Ir 0.000 0.000 0.500
Ir2 Ir 0.000 0.500 0.750
```


[8]
Here is crystalline CrCuRh at its relaxed geometry from the Alexandria database. Energies are from GGA-PBEsol.

Summary:
Its density of states at the Fermi level is 3.88 states/eV/f.u. For the total energy, the calculation gives -0.2737 hartree per atom. As for the calculated formation energy: 0.125 eV per atom. The total magnetization comes out at 0.013 Bohr magnetons per cell.

Geometry as CIF:
```
data_CrCuRh
_cell_length_a 2.655
_cell_length_b 2.655
_cell_length_c 10.355
_cell_angle_alpha 90.00
_cell_angle_beta 90.00
_cell_angle_gamma 90.00
_space_group_name_H-M_alt 'I 4 m m'
_space_group_IT_number 107
_space_group_name_Hall 'I 4 -2'
loop_
_atom_site_label
_atom_site_type_symbol
_atom_site_fract_x
_atom_site_fract_y
_atom_site_fract_z
Cr1 Cr 0.000 0.000 0.000
Cu1 Cu 0.000 0.000 0.664
Rh1 Rh 0.000 0.000 0.342
```


[9]
Here is crystalline BeAs2PBr at its relaxed geometry from the Alexandria database. Energies are from GGA-PBEsol.

Summary:
Its density of states at the Fermi level is 3.68 states/eV/f.u. For the total energy, the calculation gives -0.1361 hartree per atom. As for the raw formation energy: 0.67 eV/atom. The total magnetization comes out at 0.000 Bohr magnetons per cell.

Geometry as CIF:
```
data_BeAs2PBr
_cell_length_a 4.588
_cell_length_b 4.588
_cell_length_c 4.322
_cell_angle_alpha 90.00
_cell_angle_beta 90.00
_cell_angle_gamma 90.00
_space_group_name_H-M_alt 'P 4/m m m'
_space_group_IT_number 123
_space_group_name_Hall '-P 4 2'
loop_
_atom_site_label
_atom_site_type_symbol
_atom_site_fract_x
_atom_site_fract_y
_atom_site_fract_z
Be1 Be 0.000 0.000 0.000
As1 As 0.000 0.500 0.000
P1 P 0.500 0.500 0.500
Br1 Br 0.000 0.000 0.500
```


[10]
Here is crystalline NaCd3 at its relaxed geometry from the Alexandria database. Energies are from GGA-PBEsol.

Summary:
Its density of states at the Fermi level is 1.24 states/eV/f.u. For the total energy, the calculation gives -0.0481 hartree per atom. As for the calculated formation energy: -0.062 eV per atom. The total magnetization comes out at 0.000 Bohr magnetons per cell.

Geometry as CIF:
```
data_NaCd3
_cell_length_a 6.2834
_cell_length_b 6.2834
_cell_length_c 5.0301
_cell_angle_alpha 90.00
_cell_angle_beta 90.00
_cell_angle_gamma 120.00
_space_group_name_H-M_alt 'P 63/m m c'
_space_group_IT_number 194
_space_group_name_Hall '-P 6c 2c'
loop_
_atom_site_label
_atom_site_type_symbol
_atom_site_fract_x
_atom_site_fract_y
_atom_site_fract_z
Na1 Na 0.3333 0.6667 0.2500
Cd1 Cd 0.1646 0.3293 0.7500
```


[11]
Here is crystalline AlTlSn2Hg at its relaxed geometry from the Alexandria database. Energies are from GGA-PBEsol.

Summary:
Its density of states at the Fermi level is 2.67 states/eV/f.u. For the total energy, the calculation gives -0.0912 hartree per atom. As for the calculated formation energy: 0.679 eV per atom. The total magnetization comes out at 0.000 Bohr magnetons per cell.

Geometry as CIF:
```
data_AlTlSn2Hg
_cell_length_a 5.471
_cell_length_b 5.471
_cell_length_c 5.542
_cell_angle_alpha 90.00
_cell_angle_beta 90.00
_cell_angle_gamma 90.00
_space_group_name_H-M_alt 'P 4/m m m'
_space_group_IT_number 123
_space_group_name_Hall '-P 4 2'
loop_
_atom_site_label
_atom_site_type_symbol
_atom_site_fract_x
_atom_site_fract_y
_atom_site_fract_z
Al1 Al 0.000 0.000 0.000
Tl1 Tl 0.500 0.500 0.000
Sn1 Sn 0.000 0.500 0.500
Hg1 Hg 0.500 0.500 0.500
```


[12]
Here is crystalline Be2TeI at its relaxed geometry from the Alexandria database. Energies are from GGA-PBEsol.

Summary:
Its density of states at the Fermi level is 2.15 states/eV/f.u. For the total energy, the calculation gives -0.0919 hartree per atom. As for the raw formation energy: 0.82 eV/atom. The total magnetization comes out at 0.001 Bohr magnetons per cell.

Geometry as CIF:
```
data_Be2TeI
_cell_length_a 6.781
_cell_length_b 6.781
_cell_length_c 6.781
_cell_angle_alpha 90.00
_cell_angle_beta 90.00
_cell_angle_gamma 90.00
_space_group_name_H-M_alt 'F m -3 m'
_space_group_IT_number 225
_space_group_name_Hall '-F 4 2 3'
loop_
_atom_site_label
_atom_site_type_symbol
_atom_site_fract_x
_atom_site_fract_y
_atom_site_fract_z
Be1 Be 0.250 0.250 0.250
Te1 Te 0.000 0.000 0.000
I1 I 0.000 0.000 0.500
```